The following is a DFT calculation (PBE) of CsRbMoI2 after structural relaxation.

Lattice parameters (Å, degrees): 6.7887 7.2080 6.7887 90.00 90.00 90.00
With the nearest neighbours (Å) after each atom.
Element x y z (fractional)
Cs  0.0000  0.5000  0.0000  2 Rb 3.60
I  0.0000  0.0000  0.5000  2 Rb 3.39
I  0.5000  0.0000  0.0000  2 Rb 3.39
Mo  0.5000  0.5000  0.5000  4 Cs 4.80, 8 I 4.95
Rb  0.0000  0.0000  0.0000  4 I 3.39, 2 Cs 3.60

ΔE_f (raw)   0.408 eV/atom
Space group   P4/mmm
M_tot   6.000 Bohr magnetons per cell


The following is a DFT calculation (PBE) of Cs2MoSI6 after structural relaxation.

Lattice parameters (Å, degrees): 9.1022 9.1022 8.4152 57.26 57.26 90.00
With the nearest neighbours (Å) after each atom.
Element x y z (fractional)
Cs  0.7500  0.2500  0.5000  12 I 4.23-4.55
Cs  0.2500  0.7500  0.5000  12 I 4.23-4.55
I  0.2602  0.2602  0.4795  1 S 2.60, 1 Mo 2.82
I  0.7398  0.7398  0.5205  1 S 2.60, 1 Mo 2.82
I  0.2182  0.2182  0.0000  1 Mo 2.81
I  0.7818  0.7818  0.0000  1 Mo 2.81
I  0.7818  0.2182  0.0000  1 Mo 2.81
I  0.2182  0.7818  0.0000  1 Mo 2.81
Mo  0.0000  0.0000  0.0000  6 I 2.81-2.82
S  0.5000  0.5000  0.0000  2 I 2.60

ΔE_f (raw)   -0.497 eV/atom
Space group   I4/mmm
M_tot   2.000 Bohr magnetons per cell


The following is a DFT calculation (PBE) of CsSbMoI2 after structural relaxation.

Lattice parameters (Å, degrees): 7.2048 7.2048 7.1319 90.00 90.00 90.00
With the nearest neighbours (Å) after each atom.
Element x y z (fractional)
Cs  0.0000  0.0000  0.0000  2 Sb 3.57, 4 I 3.60
I  0.0000  0.5000  0.0000  2 Cs 3.60
I  0.5000  0.0000  0.0000  2 Cs 3.60
Mo  0.5000  0.5000  0.5000  8 I 5.07, 4 Sb 5.09
Sb  0.0000  0.0000  0.5000  2 Cs 3.57

ΔE_f (raw)   1.279 eV/atom
Distance to the lowest polymorph of the same formula   1432 meV per atom
Space group   P4/mmm
M_tot   7.961 Bohr magnetons per cell


The following is a DFT calculation (PBE) of Cs2SbMoI6 after structural relaxation.

Lattice parameters (Å, degrees): 8.6100 8.6100 8.5789 59.88 59.88 90.00
With the nearest neighbours (Å) after each atom.
Element x y z (fractional)
Cs  0.7500  0.2500  0.5000  12 I 4.29-4.31
Cs  0.2500  0.7500  0.5000  12 I 4.29-4.31
I  0.2601  0.2601  0.4798  1 Mo 2.90, 1 Sb 3.14
I  0.7399  0.7399  0.5202  1 Mo 2.90, 1 Sb 3.14
I  0.2621  0.2621  0.0000  1 Mo 2.90, 1 Sb 3.19
I  0.7379  0.7379  0.0000  1 Mo 2.90, 1 Sb 3.19
I  0.7379  0.2621  0.0000  1 Mo 2.90, 1 Sb 3.19
I  0.2621  0.7379  0.0000  1 Mo 2.90, 1 Sb 3.19
Mo  0.5000  0.5000  0.0000  6 I 2.90
Sb  0.0000  0.0000  0.0000  6 I 3.14-3.19

ΔE_f (raw)   -0.576 eV/atom
Space group   I4/mmm
M_tot   5.000 Bohr magnetons per cell


The following is a DFT calculation (PBE) of CsSb2MoI after structural relaxation.

Lattice parameters (Å, degrees): 5.2581 5.2581 6.4037 90.00 90.00 90.00
With the nearest neighbours (Å) after each atom.
Element x y z (fractional)
Cs  0.5000  0.5000  0.5000  4 I 3.72, 8 Sb 4.14
I  0.0000  0.0000  0.5000  2 Mo 3.20
Mo  0.0000  0.0000  0.0000  4 Sb 2.63
Sb  0.0000  0.5000  0.0000  2 Mo 2.63
Sb  0.5000  0.0000  0.0000  2 Mo 2.63

ΔE_f (raw)   -0.029 eV/atom
Distance to the lowest polymorph of the same formula   0 meV per atom
Space group   P4/mmm
M_tot   0.588 Bohr magnetons per cell


The following is a DFT calculation (PBE) of CsSb2MoI after structural relaxation.

Lattice parameters (Å, degrees): 6.4522 6.4522 6.7559 90.00 90.00 90.00
With the nearest neighbours (Å) after each atom.
Element x y z (fractional)
Cs  0.0000  0.0000  0.0000  4 Sb 3.23, 2 I 3.38
I  0.0000  0.0000  0.5000  2 Cs 3.38
Mo  0.5000  0.5000  0.5000  4 I 4.56, 8 Sb 4.67
Sb  0.0000  0.5000  0.0000  2 Cs 3.23
Sb  0.5000  0.0000  0.0000  2 Cs 3.23

ΔE_f (raw)   1.817 eV/atom
Distance to the lowest polymorph of the same formula   1846 meV per atom
Space group   P4/mmm
M_tot   2.499 Bohr magnetons per cell


The following is a DFT calculation (PBE) of CsSbMoI2 after structural relaxation.

Lattice parameters (Å, degrees): 6.0115 6.0115 5.2803 90.00 90.00 90.00
With the nearest neighbours (Å) after each atom.
Element x y z (fractional)
Cs  0.5000  0.5000  0.5000  8 I 4.00, 4 Sb 4.25
I  0.0000  0.5000  0.0000  2 Mo 3.01
I  0.5000  0.0000  0.0000  2 Mo 3.01
Mo  0.0000  0.0000  0.0000  2 Sb 2.64
Sb  0.0000  0.0000  0.5000  2 Mo 2.64

ΔE_f (raw)   -0.153 eV/atom
Distance to the lowest polymorph of the same formula   0 meV per atom
Space group   P4/mmm
M_tot   1.951 Bohr magnetons per cell


The following is a DFT calculation (PBE) of Cs2MoSeI6 after structural relaxation.

Lattice parameters (Å, degrees): 9.0614 9.0614 8.4911 57.75 57.75 90.00
With the nearest neighbours (Å) after each atom.
Element x y z (fractional)
Cs  0.7500  0.2500  0.5000  12 I 4.26-4.53
Cs  0.2500  0.7500  0.5000  12 I 4.26-4.53
I  0.2545  0.2545  0.4911  1 Se 2.74, 1 Mo 2.84
I  0.7455  0.7455  0.5089  1 Se 2.74, 1 Mo 2.84
I  0.2194  0.2194  0.0000  1 Mo 2.81
I  0.7806  0.7806  0.0000  1 Mo 2.81
I  0.7806  0.2194  0.0000  1 Mo 2.81
I  0.2194  0.7806  0.0000  1 Mo 2.81
Mo  0.0000  0.0000  0.0000  6 I 2.81-2.84
Se  0.5000  0.5000  0.0000  2 I 2.74

ΔE_f (raw)   -0.533 eV/atom
Space group   I4/mmm
M_tot   2.000 Bohr magnetons per cell